No. 1
The following is a PBE calculation of PmNdZnGa after structural relaxation, from Alexandria via LeMat-Bulk.

Properties
As for the formation energy: -173 kJ/mol of formula units.

Cell and atoms, written as extended XYZ:
```
4
Lattice="-3.872 3.247 1.268 -3.471 -1.379 3.632 0.003 2.371 4.639" Properties=species:S:1:pos:R:3 pbc="T T T"
Nd -3.670 2.119 4.770
Pm 0.000 0.000 0.000
Ga -1.835 1.060 2.385
Zn -5.505 3.179 7.154
```

No. 2
The following is a PBE calculation of Nd2S2Br after structural relaxation, from Alexandria via LeMat-Bulk.

Properties
For the formation energy from raw total energies, the calculation gives -1.97 eV/atom.

Cell and atoms, written as extended XYZ:
```
10
Lattice="4.036 0.001 0.000 2.017 10.209 3.179 -0.001 2.383 7.752" Properties=species:S:1:pos:R:3 pbc="T T T"
Br 4.015 1.789 5.815
Nd 2.015 9.234 9.866
S 4.034 8.521 7.964
Nd 4.036 3.360 1.066
S 2.017 4.073 2.967
S 4.035 7.329 4.088
Nd 2.016 8.042 5.990
S 2.016 5.264 6.843
Br 2.036 10.805 5.116
Nd 4.035 4.551 4.942
```

No. 3
The following is a PBE calculation of Ce2SiAg3 after structural relaxation, from Alexandria via LeMat-Bulk.

Properties
For the formation energy from raw total energies, the calculation gives -0.26 eV/atom.

Cell and atoms, written as extended XYZ:
```
12
Lattice="5.198 1.034 -2.367 -0.046 5.299 -2.367 0.031 0.038 9.493" Properties=species:S:1:pos:R:3 pbc="T T T"
Ag 0.891 1.096 2.437
Ag 3.388 4.165 4.790
Ce 1.123 4.349 -2.367
Ag 1.795 2.207 -0.031
Ce 1.280 4.252 2.380
Ag 4.243 5.217 -2.280
Ag 4.291 5.276 2.323
Ce 3.902 2.120 2.380
Si 3.438 4.228 -0.009
Si 1.744 2.145 4.768
Ag 0.940 1.156 7.039
Ce 4.029 1.985 -2.367
```

No. 4
The following is a PBE calculation of PrPa3Sb4 after structural relaxation, from Alexandria via LeMat-Bulk.

Properties
For the formation energy from raw total energies, the calculation gives -0.61 eV/atom.

Cell and atoms, written as extended XYZ:
```
8
Lattice="4.401 -0.055 0.074 0.056 7.343 2.136 -0.124 0.419 7.635" Properties=species:S:1:pos:R:3 pbc="T T T"
Pa 4.366 3.827 4.960
Sb 4.382 1.837 2.556
Sb 2.211 5.609 3.578
Pa 2.138 0.183 3.855
Pr 2.104 4.064 8.740
Sb 2.121 2.100 6.268
Pa 4.276 0.365 7.710
Sb 4.350 5.816 7.364
```

No. 5
The following is a PBE calculation of RbHf3Cu after structural relaxation, from Alexandria via LeMat-Bulk.

Properties
As for the formation energy: 489 kJ/mol of formula units.

Cell and atoms, written as extended XYZ:
```
5
Lattice="5.085 0.000 0.000 0.000 5.085 0.000 0.000 0.000 5.085" Properties=species:S:1:pos:R:3 pbc="T T T"
Hf 0.000 0.000 2.542
Hf 2.542 0.000 0.000
Hf 0.000 2.542 0.000
Rb 2.542 2.542 2.542
Cu 0.000 0.000 0.000
```

No. 6
The following is a PBE calculation of Er2NbOs after structural relaxation, from Alexandria via LeMat-Bulk.

Properties
As for the formation energy: 207 kJ/mol of formula units.

Cell and atoms, written as extended XYZ:
```
4
Lattice="-1.473 -0.853 -2.674 1.150 -2.376 -1.754 -5.832 -7.748 3.807" Properties=species:S:1:pos:R:3 pbc="T T T"
Nb 0.000 0.000 0.000
Er -1.995 -5.178 -2.885
Er -4.160 -5.799 2.264
Os -3.078 -5.488 -0.311
```

No. 7
The following is a PBE calculation of Cd2Ni2Bi after structural relaxation, from Alexandria via LeMat-Bulk.

Properties
As for the formation energy: 115 kJ/mol of formula units.

Cell and atoms, written as extended XYZ:
```
5
Lattice="3.389 0.000 0.000 0.000 3.389 0.000 1.694 1.694 9.002" Properties=species:S:1:pos:R:3 pbc="T T T"
Ni 1.694 3.389 4.501
Cd 1.694 1.694 2.395
Cd 3.389 3.389 6.607
Bi 0.000 0.000 0.000
Ni 3.389 1.694 4.501
```

No. 8
The following is a PBE calculation of TlIr2W after structural relaxation, from Alexandria via LeMat-Bulk.

Properties
As for the formation energy: 27 kJ/mol of formula units.

Cell and atoms, written as extended XYZ:
```
4
Lattice="2.892 0.000 0.000 0.000 2.885 0.187 0.000 2.170 8.276" Properties=species:S:1:pos:R:3 pbc="T T T"
W 1.446 3.791 6.347
Ir 0.000 2.462 4.472
Tl 1.446 1.264 2.116
Ir 0.000 2.236 8.035
```

What did we get for size of the total moment? Answer: 0.0, 0.0, 1.4, 2.1, 0.0, 0.8, 0.0, 0.0 μB per formula unit, in the order shown.
What did we get for uncorrected energy? Answer: -15.6, -58.6, -54.8, -54.6, -29.9, -28.3, -16.1, -32.8 eV for the cell shown, in the order shown.
What did we get for DOS(E_F)? Answer: 4.39, 3.57, 22.72, 14.29, 4.16, 4.47, 4.22, 0.88 states/eV per cell, in the order shown.